PmPuSnPt, optimized geometry, DFT PBE-GGA; ΔE_f = -35 kJ/mol of atoms
1.0
5.099 0.000 0.000
2.550 4.416 0.000
2.550 1.472 4.164
Pm Sn Pu Pt
1 1 1 1
Direct
0.750 0.750 0.750
0.250 0.250 0.250
0.500 0.500 0.500
0.000 0.000 0.000